(1)
This record from the Alexandria database describes Tl3NiC after structural relaxation. The functional is GGA-PBE.

Cell: 4.852 4.852 4.852 Å, 90.00 90.00 90.00°
Fractional positions:
Tl: 0.000 0.500 0.000
Tl: 0.500 0.000 0.000
Tl: 0.000 0.000 0.500
C: 0.000 0.000 0.000
Ni: 0.500 0.500 0.500

Energy relative to the elements ... 6.6 eV per formula unit
Symmetry ... Pm-3m, No. 221
Volume ... 114.2 Å³/cell
Theoretical density ... 9.94 g/cm³
Raw total energy ... -3.095 eV per atom

***

(2)
This record from the Alexandria database describes Tl2NiC after structural relaxation. The functional is GGA-PBE.

Cell: 6.379 6.379 5.975 Å, 57.73 57.73 90.00°
Fractional positions:
C: 0.500 0.500 0.000
C: 0.250 0.750 0.500
Tl: 0.875 0.836 0.750
Tl: 0.164 0.625 0.250
Tl: 0.375 0.414 0.750
Tl: 0.586 0.125 0.250
Ni: 0.750 0.250 0.500
Ni: 0.000 0.000 0.000

Energy relative to the elements ... 5.5 eV per formula unit
Symmetry ... I-42d, No. 122
Volume ... 159.4 Å³/cell
Theoretical density ... 9.99 g/cm³
Raw total energy ... -3.571 eV per atom

***

(3)
This record from the Alexandria database describes TlNi2C after structural relaxation. The functional is GGA-PBE.

Cell: 4.727 4.727 6.522 Å, 68.75 68.75 90.00°
Fractional positions:
Tl: 0.000 0.000 0.000
Tl: 0.750 0.250 0.500
Ni: 0.875 0.673 0.750
Ni: 0.423 0.125 0.250
Ni: 0.327 0.625 0.250
Ni: 0.375 0.577 0.750
C: 0.250 0.750 0.500
C: 0.500 0.500 0.000

Energy relative to the elements ... 2.0 eV per formula unit
Symmetry ... I-42d, No. 122
Volume ... 125.2 Å³/cell
Theoretical density ... 8.86 g/cm³
Raw total energy ... -5.276 eV per atom

***

(4)
This record from the Alexandria database describes TmNi3C after structural relaxation. The functional is GGA-PBE.

Cell: 4.601 4.601 5.516 Å, 65.35 65.35 60.00°
Fractional positions:
Ni: 0.329 0.822 0.026
Ni: 0.822 0.329 0.026
Ni: 0.822 0.822 0.026
Tm: 0.821 0.821 0.536
C: 0.080 0.080 0.761

Energy relative to the elements ... 2.4 eV per formula unit
Symmetry ... R3m, No. 160
Volume ... 88.6 Å³/cell
Theoretical density ... 6.69 g/cm³
Raw total energy ... -5.732 eV per atom

***

(5)
This record from the Alexandria database describes Tm4Ni13C4 after structural relaxation. The functional is GGA-PBE.

Cell: 3.826 8.346 8.346 Å, 91.33 90.00 90.00°
Fractional positions:
C: 0.500 0.057 0.943
C: 0.500 0.000 0.500
C: 0.500 0.500 0.000
C: 0.500 0.943 0.057
Ni: 0.500 0.070 0.716
Ni: 0.000 0.623 0.623
Ni: 0.500 0.575 0.791
Ni: 0.500 0.425 0.209
Ni: 0.000 0.500 0.000
Ni: 0.500 0.209 0.425
Ni: 0.000 0.377 0.377
Ni: 0.500 0.716 0.070
Ni: 0.000 0.000 0.500
Ni: 0.500 0.284 0.930
Ni: 0.500 0.791 0.575
Ni: 0.500 0.930 0.284
Ni: 0.500 0.500 0.500
Tm: 0.000 0.687 0.313
Tm: 0.000 0.152 0.152
Tm: 0.000 0.848 0.848
Tm: 0.000 0.313 0.687

Energy relative to the elements ... -7.6 eV per formula unit
Symmetry ... Cmmm, No. 65
Volume ... 266.4 Å³/cell
Theoretical density ... 9.27 g/cm³
Raw total energy ... -6.547 eV per atom

***

(6)
This record from the Alexandria database describes Tm4Ni2C after structural relaxation. The functional is GGA-PBE.

Cell: 4.721 4.721 7.435 Å, 71.49 71.49 90.00°
Fractional positions:
Tm: 0.819 0.819 0.362
Tm: 0.181 0.181 0.638
Tm: 0.000 0.500 0.000
Tm: 0.500 0.000 0.000
Ni: 0.621 0.621 0.758
Ni: 0.379 0.379 0.242
C: 0.000 0.000 0.000

Energy relative to the elements ... -1.1 eV per formula unit
Symmetry ... I4/mmm, No. 139
Volume ... 148.1 Å³/cell
Theoretical density ... 9.03 g/cm³
Raw total energy ... -5.687 eV per atom

***

(7)
This record from the Alexandria database describes Tm11Ni60C6 after structural relaxation. The functional is GGA-PBE.

Cell: 10.736 10.736 10.736 Å, 109.47 109.47 109.47°
Fractional positions:
Ni: 0.767 0.000 0.419
Ni: 0.681 0.829 0.148
Ni: 0.852 0.533 0.681
Ni: 0.681 0.852 0.533
Ni: 0.500 0.250 0.750
Ni: 0.467 0.148 0.319
Ni: 0.233 0.652 0.233
Ni: 0.581 0.233 0.000
Ni: 0.581 0.348 0.581
Ni: 0.143 0.000 0.143
Ni: 0.319 0.852 0.171
Ni: 0.419 0.767 0.000
Ni: 0.319 0.467 0.148
Ni: 0.348 0.767 0.767
Ni: 0.652 0.233 0.233
Ni: 0.319 0.171 0.852
Ni: 0.419 0.000 0.767
Ni: 0.750 0.500 0.250
Ni: 0.533 0.852 0.681
Ni: 0.348 0.581 0.581
Ni: 0.419 0.419 0.652
Ni: 0.000 0.767 0.419
Ni: 0.852 0.319 0.171
Ni: 0.829 0.681 0.148
Ni: 0.148 0.319 0.467
Ni: 0.000 0.143 0.143
Ni: 0.319 0.148 0.467
Ni: 0.857 0.000 0.857
Ni: 0.000 0.857 0.857
Ni: 0.250 0.750 0.500
Ni: 0.143 0.143 0.000
Ni: 0.581 0.581 0.348
Ni: 0.750 0.250 0.500
Ni: 0.000 0.581 0.233
Ni: 0.250 0.500 0.750
Ni: 0.857 0.857 0.000
Ni: 0.148 0.681 0.829
Ni: 0.500 0.750 0.250
Ni: 0.767 0.767 0.348
Ni: 0.852 0.171 0.319
Ni: 0.233 0.581 0.000
Ni: 0.652 0.419 0.419
Ni: 0.467 0.319 0.148
Ni: 0.171 0.319 0.852
Ni: 0.681 0.533 0.852
Ni: 0.148 0.467 0.319
Ni: 0.681 0.148 0.829
Ni: 0.419 0.652 0.419
Ni: 0.000 0.419 0.767
Ni: 0.233 0.233 0.652
Ni: 0.581 0.000 0.233
Ni: 0.852 0.681 0.533
Ni: 0.171 0.852 0.319
Ni: 0.148 0.829 0.681
Ni: 0.767 0.348 0.767
Ni: 0.767 0.419 0.000
Ni: 0.533 0.681 0.852
Ni: 0.000 0.233 0.581
Ni: 0.233 0.000 0.581
Ni: 0.829 0.148 0.681
Tm: 0.000 0.000 0.663
Tm: 0.337 0.000 0.000
Tm: 0.000 0.500 0.500
Tm: 0.000 0.663 0.000
Tm: 0.000 0.000 0.337
Tm: 0.000 0.337 0.000
Tm: 0.663 0.663 0.663
Tm: 0.337 0.337 0.337
Tm: 0.500 0.500 0.000
Tm: 0.663 0.000 0.000
Tm: 0.500 0.000 0.500
C: 0.292 0.000 0.292
C: 0.000 0.292 0.292
C: 0.292 0.292 0.000
C: 0.708 0.708 0.000
C: 0.000 0.708 0.708
C: 0.708 0.000 0.708

Energy relative to the elements ... -22.2 eV per formula unit
Symmetry ... Im-3m, No. 229
Volume ... 952.7 Å³/cell
Theoretical density ... 9.50 g/cm³
Raw total energy ... -6.151 eV per atom

***

(8)
This record from the Alexandria database describes Tm2NiC after structural relaxation. The functional is GGA-PBE.

Cell: 3.559 3.559 6.820 Å, 74.87 74.87 60.00°
Fractional positions:
C: 0.500 0.500 0.500
Ni: 0.000 0.000 0.000
Tm: 0.235 0.235 0.295
Tm: 0.765 0.765 0.705

Energy relative to the elements ... -1.0 eV per formula unit
Symmetry ... R-3m, No. 166
Volume ... 71.3 Å³/cell
Theoretical density ... 9.51 g/cm³
Raw total energy ... -6.230 eV per atom

***

(9)
This record from the Alexandria database describes Tm2Ni4C after structural relaxation. The functional is GGA-PBE.

Cell: 3.790 3.790 7.828 Å, 75.99 75.99 90.00°
Fractional positions:
Ni: 0.128 0.128 0.745
Ni: 0.000 0.500 0.000
Ni: 0.500 0.000 0.000
Ni: 0.872 0.872 0.255
Tm: 0.667 0.667 0.665
Tm: 0.333 0.333 0.335
C: 0.000 0.000 0.000

Energy relative to the elements ... -2.0 eV per formula unit
Symmetry ... I4/mmm, No. 139
Volume ... 105.7 Å³/cell
Theoretical density ... 9.19 g/cm³
Raw total energy ... -6.180 eV per atom

***

(10)
This record from the Alexandria database describes TmNiC after structural relaxation. The functional is GGA-PBE.

Cell: 3.579 3.579 7.198 Å, 104.39 104.39 90.00°
Fractional positions:
Ni: 0.808 0.808 0.617
Ni: 0.192 0.192 0.383
Tm: 0.386 0.386 0.772
Tm: 0.614 0.614 0.228
C: 0.050 0.050 0.099
C: 0.950 0.950 0.901

Energy relative to the elements ... -0.2 eV per formula unit
Symmetry ... I4/mmm, No. 139
Volume ... 86.3 Å³/cell
Theoretical density ... 9.22 g/cm³
Raw total energy ... -6.559 eV per atom

***

(11)
This record from the Alexandria database describes TmNiC after structural relaxation. The functional is GGA-PBE.

Cell: 3.349 4.512 6.192 Å, 111.36 90.00 90.00°
Fractional positions:
C: 0.861 0.660 0.247
C: 0.861 0.353 0.247
Tm: 0.361 0.658 0.551
Tm: 0.361 0.355 0.944
Ni: 0.861 0.902 0.038
Ni: 0.861 0.111 0.457

Energy relative to the elements ... -0.6 eV per formula unit
Symmetry ... Cmmm, No. 65
Volume ... 87.1 Å³/cell
Theoretical density ... 9.13 g/cm³
Raw total energy ... -6.702 eV per atom

***

(12)
This record from the Alexandria database describes Tm4Ni2C5 after structural relaxation. The functional is GGA-PBE.

Cell: 3.560 3.662 11.484 Å, 90.00 90.00 90.00°
Fractional positions:
Tm: 0.500 0.503 0.797
Tm: 0.500 0.503 0.203
Tm: 0.000 0.999 0.000
Tm: 0.500 0.210 0.500
C: 0.000 0.199 0.332
C: 0.000 0.000 0.228
C: 0.000 0.000 0.772
C: 0.000 0.199 0.668
C: 0.500 0.494 0.000
Ni: 0.000 0.699 0.385
Ni: 0.000 0.699 0.615

Energy relative to the elements ... -4.5 eV per formula unit
Symmetry ... Pmm2, No. 25
Volume ... 149.7 Å³/cell
Theoretical density ... 9.46 g/cm³
Raw total energy ... -7.277 eV per atom

***

Look up the raw total energy of the sixth one. -5.687 eV per atom